# 1
This record from the Alexandria database describes a relaxed Pr2TmHg crystal. The functional is PBE. Values from VASP.

Values from the calculation:
- energy of formation from the pure elements (meV/atom) = -203
- D(E_F) (states/eV per atom) = 1.2771
- density (g cm⁻³) = 8.66
- space group = P4/mmm, No. 123

Geometry as Quantum ESPRESSO input:
```
&SYSTEM
  ibrav = 0, nat = 4, ntyp = 3
/
ATOMIC_SPECIES
Pr 140.91 Pr.upf
Hg 200.59 Hg.upf
Tm 168.93 Tm.upf
CELL_PARAMETERS angstrom
3.742 0.000 0.000
0.000 3.742 0.000
0.000 0.000 8.918
ATOMIC_POSITIONS crystal
Pr 0.000 0.000 0.228
Hg 0.500 0.500 0.000
Pr 0.000 0.000 0.772
Tm 0.500 0.500 0.500
```

---

# 2
This record from the Alexandria database describes a relaxed Pr3TmHg crystal. The functional is PBE. Values from VASP.

Values from the calculation:
- energy of formation from the pure elements (meV/atom) = -78
- D(E_F) (states/eV per atom) = 1.4501
- density (g cm⁻³) = 8.00
- space group = C2/m, No. 12

Geometry as Quantum ESPRESSO input:
```
&SYSTEM
  ibrav = 0, nat = 10, ntyp = 3
/
ATOMIC_SPECIES
Tm 168.93 Tm.upf
Pr 140.91 Pr.upf
Hg 200.59 Hg.upf
CELL_PARAMETERS angstrom
-2.343 2.786 -0.221
-5.656 -4.416 4.300
7.153 4.243 7.734
ATOMIC_POSITIONS crystal
Tm 0.735 0.824 0.470
Pr 0.013 0.250 0.027
Pr 0.621 0.045 0.242
Pr 0.987 0.750 0.973
Pr 0.825 0.546 0.649
Hg 0.415 0.383 0.830
Pr 0.175 0.454 0.351
Pr 0.379 0.955 0.758
Hg 0.585 0.617 0.170
Tm 0.265 0.176 0.530
```

---

# 3
This record from the Alexandria database describes a relaxed Pr2Tm6Hg crystal. The functional is PBE. Values from VASP.

Values from the calculation:
- energy of formation from the pure elements (meV/atom) = -6
- D(E_F) (states/eV per atom) = 1.4573
- density (g cm⁻³) = 9.23
- space group = Pnnm, No. 58

Geometry as Quantum ESPRESSO input:
```
&SYSTEM
  ibrav = 0, nat = 18, ntyp = 3
/
ATOMIC_SPECIES
Tm 168.93 Tm.upf
Pr 140.91 Pr.upf
Hg 200.59 Hg.upf
CELL_PARAMETERS angstrom
-4.725 1.433 2.303
-4.734 -2.838 -7.944
-0.938 -9.390 3.914
ATOMIC_POSITIONS crystal
Tm 0.500 0.819 0.074
Tm 0.500 0.139 0.602
Tm 0.000 0.983 0.821
Tm 0.500 0.483 0.679
Tm 0.500 0.181 0.926
Pr 0.500 0.190 0.251
Pr 0.000 0.690 0.249
Tm 0.000 0.639 0.898
Tm 0.000 0.681 0.574
Tm 0.000 0.017 0.179
Tm 0.500 0.861 0.398
Pr 0.000 0.310 0.751
Tm 0.500 0.517 0.321
Tm 0.000 0.319 0.426
Hg 0.500 0.500 0.000
Tm 0.000 0.361 0.102
Pr 0.500 0.810 0.749
Hg 0.000 0.000 0.500
```

---

# 4
This record from the Alexandria database describes a relaxed PrTmHg2 crystal. The functional is PBE. Values from VASP.

Values from the calculation:
- energy of formation from the pure elements (meV/atom) = -477
- D(E_F) (states/eV per atom) = 0.8337
- density (g cm⁻³) = 11.04
- space group = P4/mmm, No. 123

Geometry as Quantum ESPRESSO input:
```
&SYSTEM
  ibrav = 0, nat = 4, ntyp = 3
/
ATOMIC_SPECIES
Pr 140.91 Pr.upf
Tm 168.93 Tm.upf
Hg 200.59 Hg.upf
CELL_PARAMETERS angstrom
-1.359 3.044 -1.633
-3.277 -1.691 -0.425
-2.285 2.690 6.916
ATOMIC_POSITIONS crystal
Pr 0.500 0.500 0.500
Tm 0.500 0.500 0.000
Hg 0.000 0.000 0.225
Hg 0.000 0.000 0.775
```

---

# 5
This record from the Alexandria database describes a relaxed Pr3Tm2Hg7 crystal. The functional is PBE. Values from VASP.

Values from the calculation:
- energy of formation from the pure elements (meV/atom) = -330
- D(E_F) (states/eV per atom) = 0.6711
- density (g cm⁻³) = 10.68
- space group = Cmmm, No. 65

Geometry as Quantum ESPRESSO input:
```
&SYSTEM
  ibrav = 0, nat = 12, ntyp = 3
/
ATOMIC_SPECIES
Hg 200.59 Hg.upf
Tm 168.93 Tm.upf
Pr 140.91 Pr.upf
CELL_PARAMETERS angstrom
5.635 0.000 0.000
0.000 5.197 0.000
0.000 -2.599 11.496
ATOMIC_POSITIONS crystal
Hg 0.000 0.577 0.153
Tm 0.000 0.141 0.283
Hg 0.000 0.725 0.450
Hg 0.500 0.910 0.821
Pr 0.500 0.500 0.000
Hg 0.000 0.275 0.550
Pr 0.500 0.327 0.655
Hg 0.500 0.090 0.179
Tm 0.000 0.859 0.717
Hg 0.000 0.000 0.000
Hg 0.000 0.423 0.847
Pr 0.500 0.673 0.345
```

---

# 6
This record from the Alexandria database describes a relaxed Pr4TmHg5 crystal. The functional is PBE. Values from VASP.

Values from the calculation:
- energy of formation from the pure elements (meV/atom) = -468
- D(E_F) (states/eV per atom) = 1.0951
- density (g cm⁻³) = 10.28
- space group = P4/mmm, No. 123

Geometry as Quantum ESPRESSO input:
```
&SYSTEM
  ibrav = 0, nat = 10, ntyp = 3
/
ATOMIC_SPECIES
Tm 168.93 Tm.upf
Hg 200.59 Hg.upf
Pr 140.91 Pr.upf
CELL_PARAMETERS angstrom
-2.615 -2.723 -0.451
1.645 -2.036 2.758
-11.301 8.672 13.142
ATOMIC_POSITIONS crystal
Tm 0.000 0.000 0.000
Hg 0.500 0.500 0.703
Pr 0.000 0.000 0.398
Pr 0.000 0.000 0.806
Pr 0.000 0.000 0.602
Hg 0.500 0.500 0.297
Hg 0.500 0.500 0.912
Hg 0.500 0.500 0.088
Hg 0.500 0.500 0.500
Pr 0.000 0.000 0.194
```

---

# 7
This record from the Alexandria database describes a relaxed Pr3TmHg4 crystal. The functional is PBE. Values from VASP.

Values from the calculation:
- energy of formation from the pure elements (meV/atom) = -469
- D(E_F) (states/eV per atom) = 1.0589
- density (g cm⁻³) = 10.40
- space group = P4/mmm, No. 123

Geometry as Quantum ESPRESSO input:
```
&SYSTEM
  ibrav = 0, nat = 8, ntyp = 3
/
ATOMIC_SPECIES
Hg 200.59 Hg.upf
Pr 140.91 Pr.upf
Tm 168.93 Tm.upf
CELL_PARAMETERS angstrom
-2.376 -2.550 -1.465
2.888 -2.378 -0.543
-2.287 -6.015 14.178
ATOMIC_POSITIONS crystal
Hg 0.000 0.000 0.890
Pr 0.500 0.500 0.500
Pr 0.500 0.500 0.757
Hg 0.000 0.000 0.373
Tm 0.500 0.500 0.000
Hg 0.000 0.000 0.110
Hg 0.000 0.000 0.627
Pr 0.500 0.500 0.243
```

---

# 8
This record from the Alexandria database describes a relaxed PrTm2Hg crystal. The functional is PBE. Values from VASP.

Values from the calculation:
- energy of formation from the pure elements (meV/atom) = -237
- D(E_F) (states/eV per atom) = 0.9947
- density (g cm⁻³) = 9.71
- space group = P4/mmm, No. 123

Geometry as Quantum ESPRESSO input:
```
&SYSTEM
  ibrav = 0, nat = 4, ntyp = 3
/
ATOMIC_SPECIES
Hg 200.59 Hg.upf
Pr 140.91 Pr.upf
Tm 168.93 Tm.upf
CELL_PARAMETERS angstrom
-0.498 1.410 3.290
0.526 -3.257 1.475
8.711 1.679 0.598
ATOMIC_POSITIONS crystal
Hg 0.500 0.500 0.000
Pr 0.500 0.500 0.500
Tm 0.000 0.000 0.786
Tm 0.000 0.000 0.214
```

---

# 9
This record from the Alexandria database describes a relaxed PrTm2Hg crystal. The functional is PBE. Values from VASP.

Values from the calculation:
- energy of formation from the pure elements (meV/atom) = -148
- D(E_F) (states/eV per atom) = 1.2820
- density (g cm⁻³) = 10.00
- space group = P4/mmm, No. 123

Geometry as Quantum ESPRESSO input:
```
&SYSTEM
  ibrav = 0, nat = 4, ntyp = 3
/
ATOMIC_SPECIES
Pr 140.91 Pr.upf
Tm 168.93 Tm.upf
Hg 200.59 Hg.upf
CELL_PARAMETERS angstrom
-0.942 -2.224 4.155
-3.551 -2.502 -2.145
3.156 -3.491 -1.153
ATOMIC_POSITIONS crystal
Pr 0.500 0.500 0.500
Tm 0.000 0.500 0.000
Tm 0.000 0.000 0.500
Hg 0.500 0.000 0.000
```

---

# 10
This record from the Alexandria database describes a relaxed Pr3Tm4Hg4 crystal. The functional is PBE. Values from VASP.

Values from the calculation:
- energy of formation from the pure elements (meV/atom) = -306
- D(E_F) (states/eV per atom) = 0.8024
- density (g cm⁻³) = 9.83
- space group = Immm, No. 71

Geometry as Quantum ESPRESSO input:
```
&SYSTEM
  ibrav = 0, nat = 11, ntyp = 3
/
ATOMIC_SPECIES
Tm 168.93 Tm.upf
Hg 200.59 Hg.upf
Pr 140.91 Pr.upf
CELL_PARAMETERS angstrom
4.931 0.000 0.000
0.000 7.892 0.000
-2.465 -3.946 8.253
ATOMIC_POSITIONS crystal
Tm 0.675 0.886 0.350
Hg 0.788 0.288 0.576
Hg 0.212 0.712 0.424
Tm 0.325 0.114 0.650
Pr 0.111 0.111 0.222
Hg 0.500 0.198 0.000
Hg 0.500 0.802 0.000
Tm 0.675 0.463 0.350
Tm 0.325 0.537 0.650
Pr 0.000 0.500 0.000
Pr 0.889 0.889 0.778
```

---

# 11
This record from the Alexandria database describes a relaxed PrTm2Hg crystal. The functional is PBE. Values from VASP.

Values from the calculation:
- energy of formation from the pure elements (meV/atom) = -146
- D(E_F) (states/eV per atom) = 1.1145
- density (g cm⁻³) = 9.36
- space group = R3m, No. 160

Geometry as Quantum ESPRESSO input:
```
&SYSTEM
  ibrav = 0, nat = 4, ntyp = 3
/
ATOMIC_SPECIES
Hg 200.59 Hg.upf
Tm 168.93 Tm.upf
Pr 140.91 Pr.upf
CELL_PARAMETERS angstrom
3.636 0.000 0.000
1.818 3.149 0.000
1.818 1.050 10.529
ATOMIC_POSITIONS crystal
Hg 0.666 0.666 0.001
Tm 0.074 0.074 0.779
Pr 0.500 0.500 0.500
Tm 0.260 0.260 0.220
```